No. 1
Crystalline TbDy2Hf at its relaxed geometry, computed with PBE.

The structure in POSCAR format:
```
TbDy2Hf
1.0
3.985 0.000 0.000
0.000 3.985 0.000
0.000 0.000 7.277
Hf Tb Dy
1 1 2
direct
0.500 0.500 0.000
0.500 0.500 0.500
0.000 0.000 0.778
0.000 0.000 0.222
```

Calculated values
Calculated volume ... 115.6 Å³/cell
Energy relative to the elements ... 221 meV/atom
Total DFT energy (no corrections) ... -5.73 eV/atom
Energy relative to the lowest polymorph listed for this composition ... 110 meV per atom



No. 2
Crystalline TbDyHf at its relaxed geometry, computed with PBE.

The structure in POSCAR format:
```
TbDyHf
1.0
-2.481 2.992 2.531
-2.589 -3.500 1.600
5.214 -0.987 6.276
Hf Dy Tb
2 2 2
direct
0.000 0.000 0.000
0.500 0.500 0.000
0.000 0.500 0.285
0.500 0.000 0.715
0.000 0.500 0.713
0.500 0.000 0.287
```

Calculated values
Calculated volume ... 176.8 Å³/cell
Energy relative to the elements ... 221 meV/atom
Total DFT energy (no corrections) ... -6.17 eV/atom
Energy relative to the lowest polymorph listed for this composition ... 100 meV per atom